[1]
SrNiSN2: relaxed, GGA-PBEsol.

a b c (Å): 3.8995 3.8995 4.6662
angles (deg): 90.00 90.00 90.00
With the nearest neighbours (Å) after each atom.
Positions (direct):
Sr (0.0000, 0.0000, 0.0000)  4 S 2.76, 8 N 3.04
Ni (0.5000, 0.5000, 0.5000)  4 N 1.95
S (0.5000, 0.5000, 0.0000)  2 Ni 2.33
N (0.0000, 0.5000, 0.5000)  2 Ni 1.95
N (0.5000, 0.0000, 0.5000)  2 Ni 1.95

Properties
Fermi-level density of states in states/eV/f.u.: 3.4
Energy relative to the elements, uncorrected in eV per atom: 0.239
Spin magnetization in μB per atom: 0.605
E_tot in eV/atom: -5.648
SG: P4/mmm

---

[2]
CaMg2Sb: relaxed, GGA-PBEsol.

a b c (Å): 3.5839 4.1846 6.7966
angles (deg): 90.00 90.00 90.00
With the nearest neighbours (Å) after each atom.
Positions (direct):
Ca (0.0000, 0.0000, 0.0000)  4 Sb 3.24, 6 Mg 3.32-3.48, 2 Ca 3.58
Mg (0.0000, 0.0000, 0.5117)  4 Mg 3.11, 4 Sb 3.19, 2 Ca 3.32-3.48
Mg (0.5000, 0.5000, 0.3000)  1 Sb 3.05, 4 Mg 3.11
Sb (0.5000, 0.5000, 0.7481)  5 Mg 3.05-3.19, 4 Ca 3.24

Properties
Fermi-level density of states in states/eV/f.u.: 2.0
Energy relative to the elements, uncorrected in eV per atom: -0.336
Spin magnetization in μB per atom: 0.000
E_tot in eV/atom: -2.867
Polymorph energy (0 for the lowest one) in eV/atom: 0.012
SG: Pmm2

---

[3]
NaY9Si6O26: relaxed, GGA-PBEsol.

a b c (Å): 9.3022 9.3022 6.7530
angles (deg): 90.00 90.00 120.00
With the nearest neighbours (Å) after each atom.
Positions (direct):
Na (0.0000, 0.0000, 0.0000)  6 O 2.39-2.50
Y (0.0000, 0.0000, 0.5067)  6 O 2.29-2.35
Y (0.3333, 0.6667, 0.0052)  6 O 2.28-2.38
Y (0.3333, 0.6667, 0.5028)  6 O 2.29-2.39
Y (0.4274, 0.0995, 0.7564)  6 O 2.20-2.42
Y (0.4336, 0.3352, 0.2542)  6 O 2.18-2.40
Y (0.6648, 0.0984, 0.2542)  6 O 2.18-2.40
Y (0.6720, 0.5726, 0.7564)  6 O 2.20-2.42
Y (0.9005, 0.3280, 0.7564)  6 O 2.20-2.42
Y (0.9016, 0.5664, 0.2542)  6 O 2.18-2.40
Si (0.0388, 0.3037, 0.2551)  4 O 1.62-1.64
Si (0.0640, 0.7038, 0.7516)  4 O 1.60-1.65
Si (0.2649, 0.9612, 0.2551)  4 O 1.62-1.64
Si (0.2962, 0.3601, 0.7516)  4 O 1.60-1.65
Si (0.6399, 0.9360, 0.7516)  4 O 1.60-1.65
Si (0.6963, 0.7351, 0.2551)  4 O 1.62-1.64
O (0.0107, 0.5824, 0.9467)  1 Si 1.64
O (0.0145, 0.5781, 0.5605)  1 Si 1.65
O (0.0638, 0.8553, 0.2692)  1 Si 1.62
O (0.1447, 0.2084, 0.2692)  1 Si 1.62
O (0.1624, 0.5052, 0.2530)  1 Si 1.64
O (0.1878, 0.1616, 0.7428)  1 Si 1.60
O (0.1941, 0.4628, 0.7553)  1 Si 1.65
O (0.2688, 0.8059, 0.7553)  1 Si 1.65
O (0.3314, 0.0864, 0.4467)  1 Si 1.64
O (0.3416, 0.0897, 0.0688)  1 Si 1.63
O (0.3427, 0.8376, 0.2530)  1 Si 1.64
O (0.4176, 0.4283, 0.9467)  1 Si 1.64
O (0.4219, 0.4364, 0.5605)  1 Si 1.65
O (0.4948, 0.6573, 0.2530)  1 Si 1.64
O (0.5372, 0.7312, 0.7553)  1 Si 1.65
O (0.5636, 0.9855, 0.5605)  1 Si 1.65
O (0.5717, 0.9893, 0.9467)  1 Si 1.64
O (0.6667, 0.3333, 0.2637)  3 Y 2.18
O (0.6667, 0.3333, 0.7567)  3 Y 2.20
O (0.7481, 0.6584, 0.0688)  1 Si 1.63
O (0.7550, 0.6686, 0.4467)  1 Si 1.64
O (0.7916, 0.9362, 0.2692)  1 Si 1.62
O (0.8384, 0.0261, 0.7428)  1 Si 1.60
O (0.9103, 0.2519, 0.0688)  1 Si 1.63
O (0.9136, 0.2450, 0.4467)  1 Si 1.64
O (0.9739, 0.8122, 0.7428)  1 Si 1.60

Properties
Fermi-level density of states in states/eV/f.u.: 0.0
Energy relative to the elements, uncorrected in eV per atom: -3.302
Spin magnetization in μB per atom: 0.000
E_tot in eV/atom: -8.867
SG: P3

---

[4]
TiBeTl2Ga: relaxed, GGA-PBEsol.

a b c (Å): 5.2939 5.2939 4.1122
angles (deg): 90.00 90.00 90.00
With the nearest neighbours (Å) after each atom.
Positions (direct):
Ti (0.0000, 0.0000, 0.0000)  8 Tl 3.35, 4 Be 3.74
Be (0.5000, 0.5000, 0.0000)  2 Ga 2.06
Tl (0.0000, 0.5000, 0.5000)  2 Ga 2.65
Tl (0.5000, 0.0000, 0.5000)  2 Ga 2.65
Ga (0.5000, 0.5000, 0.5000)  2 Be 2.06

Properties
Fermi-level density of states in states/eV/f.u.: 5.4
Spin magnetization in μB per atom: 0.382
ΔH_f (0 K) in eV per atom: 0.84
E_tot in eV/atom: -3.346
SG: P4/mmm

---

[5]
OsS2ICl: relaxed, GGA-PBEsol.

a b c (Å): 5.0987 5.0987 5.0655
angles (deg): 90.00 90.00 90.00
With the nearest neighbours (Å) after each atom.
Positions (direct):
Os (0.0000, 0.0000, 0.0000)  8 S 3.59, 4 Cl 3.61
S (0.0000, 0.5000, 0.5000)  2 I 2.55
S (0.5000, 0.0000, 0.5000)  2 I 2.55
I (0.5000, 0.5000, 0.5000)  2 Cl 2.53, 4 S 2.55
Cl (0.5000, 0.5000, 0.0000)  2 I 2.53

Properties
Fermi-level density of states in states/eV/f.u.: 6.1
Energy relative to the elements, uncorrected in eV per atom: 1.944
Spin magnetization in μB per atom: 0.937
E_tot in eV/atom: -3.008
SG: P4/mmm

---

[6]
CdPtSe2Br: relaxed, GGA-PBEsol.

a b c (Å): 4.9198 4.9198 5.0554
angles (deg): 90.00 90.00 90.00
With the nearest neighbours (Å) after each atom.
Positions (direct):
Cd (0.0000, 0.0000, 0.0000)  4 Br 3.48, 8 Se 3.53
Pt (0.5000, 0.5000, 0.5000)  4 Se 2.46, 2 Br 2.53
Se (0.0000, 0.5000, 0.5000)  2 Pt 2.46
Se (0.5000, 0.0000, 0.5000)  2 Pt 2.46
Br (0.5000, 0.5000, 0.0000)  2 Pt 2.53

Properties
Fermi-level density of states in states/eV/f.u.: 5.9
Energy relative to the elements, uncorrected in eV per atom: 0.230
Spin magnetization in μB per atom: 0.000
E_tot in eV/atom: -3.317
SG: P4/mmm

---

[7]
IrWBr2: relaxed, GGA-PBEsol.

a b c (Å): 9.7558 9.7558 9.7558
angles (deg): 17.74 17.74 17.74
With the nearest neighbours (Å) after each atom.
Positions (direct):
Ir (0.0000, 0.0000, 0.0000)  3 W 2.63, 3 Br 2.89
W (0.7354, 0.7354, 0.7354)  3 Ir 2.63, 3 Br 2.64
Br (0.2529, 0.2529, 0.2529)  3 Ir 2.89, 6 Br 3.01
Br (0.4709, 0.4709, 0.4709)  3 W 2.64

Properties
Fermi-level density of states in states/eV/f.u.: 3.7
Energy relative to the elements, uncorrected in eV per atom: 0.334
Spin magnetization in μB per atom: 0.000
E_tot in eV/atom: -6.509
Polymorph energy (0 for the lowest one) in eV/atom: 0.223
SG: R3m

---

[8]
NaTl: relaxed, GGA-PBEsol.

a b c (Å): 5.2598 5.2598 5.2598
angles (deg): 60.00 60.00 60.00
With the nearest neighbours (Å) after each atom.
Positions (direct):
Na (0.1250, 0.1250, 0.1250)  4 Tl 3.22, 4 Na 3.22
Na (0.8750, 0.8750, 0.8750)  4 Tl 3.22, 4 Na 3.22
Tl (0.3750, 0.3750, 0.3750)  4 Na 3.22, 4 Tl 3.22
Tl (0.6250, 0.6250, 0.6250)  4 Tl 3.22, 4 Na 3.22

Properties
Fermi-level density of states in states/eV/f.u.: 0.6
Spin magnetization in μB per atom: 0.000
ΔH_f (0 K) in eV per atom: -0.13
E_tot in eV/atom: -2.145
SG: Fd-3m

---

Question: Look up the spin magnetization of the second one.
Answer: 0.000 μB per atom